First-principles (PBE) data for a relaxed structure of GeBiP2, as listed in Alexandria via LeMat-Bulk.

Cell lengths 6.6151, 6.6151, 6.5277 Å; angles 59.56, 59.56, 90.00 degrees
With the nearest neighbours (Å) after each atom.
Element x y z (fractional)
P1 0.5697 0.1250 0.2500  2 Ge 2.39
P2 0.1803 0.6250 0.2500  2 Ge 2.39
P3 0.3750 0.4303 0.7500  2 Ge 2.39
P4 0.8750 0.8197 0.7500  2 Ge 2.39
Ge1 0.5000 0.5000 0.0000  4 P 2.39
Ge2 0.2500 0.7500 0.5000  4 P 2.39
Bi1 0.0000 0.0000 0.0000  4 P 2.85
Bi2 0.7500 0.2500 0.5000  4 P 2.85

Its density of states at the Fermi level is 5.58 states/eV/cell. As for the energy above the most stable polymorph in this dataset: 25 kJ/mol of formula units. For the energy relative to the elements, the calculation gives 0.239 eV/atom. The electronic total energy is -4.591 eV per atom. As for the density: 5.727 g/cm3.

***

First-principles (PBE) data for a relaxed structure of PmTh2Sb4, as listed in Alexandria via LeMat-Bulk.

Cell lengths 4.5077, 7.8935, 14.0535 Å; angles 90.00, 90.00, 106.59 degrees
With the nearest neighbours (Å) after each atom.
Element x y z (fractional)
Pm1 0.6108 0.2215 0.7500  6 Sb 3.14-3.32
Pm2 0.3892 0.7785 0.2500  6 Sb 3.14-3.32
Th1 0.1350 0.2699 0.4384  6 Sb 3.06-3.19
Th2 0.8650 0.7301 0.9384  6 Sb 3.06-3.19
Th3 0.1350 0.2699 0.0616  6 Sb 3.06-3.19
Th4 0.8650 0.7301 0.5616  6 Sb 3.06-3.19
Sb1 0.7665 0.5329 0.1378  1 Sb 3.15, 3 Th 3.17-3.19, 2 Pm 3.32
Sb2 0.7665 0.5329 0.3622  1 Sb 3.15, 3 Th 3.17-3.19, 2 Pm 3.32
Sb3 0.2335 0.4671 0.8622  1 Sb 3.15, 3 Th 3.17-3.19, 2 Pm 3.32
Sb4 0.2335 0.4671 0.6378  1 Sb 3.15, 3 Th 3.17-3.19, 2 Pm 3.32
Sb5 0.9664 0.9328 0.7500  2 Th 3.06, 2 Pm 3.14
Sb6 0.0336 0.0672 0.2500  2 Th 3.06, 2 Pm 3.14
Sb7 0.5000 0.0000 0.0000  4 Th 3.16
Sb8 0.5000 0.0000 0.5000  4 Th 3.16

Its density of states at the Fermi level is 7.92 states/eV/cell. As for the energy above the most stable polymorph in this dataset: 170 kJ/mol of formula units. The electronic total energy is -5.833 eV per atom. As for the formation energy (no corrections): -0.679 eV/atom. As for the density: 7.596 g/cm3.

***

First-principles (PBE) data for a relaxed structure of Y3Si3Os2, as listed in Alexandria via LeMat-Bulk.

Cell lengths 5.7506, 7.9644, 13.9809 Å; angles 90.00, 90.00, 90.00 degrees
With the nearest neighbours (Å) after each atom.
Element x y z (fractional)
Y1 0.1211 0.4463 0.3868  5 Si 2.97-3.18, 4 Os 3.06-3.24
Y2 0.6211 0.0537 0.6132  5 Si 2.97-3.18, 4 Os 3.06-3.24
Y3 0.8789 0.5537 0.8868  5 Si 2.97-3.18, 4 Os 3.06-3.24
Y4 0.3789 0.9463 0.1132  5 Si 2.97-3.18, 4 Os 3.06-3.24
Y5 0.8789 0.5537 0.6132  5 Si 2.97-3.18, 4 Os 3.06-3.24
Y6 0.3789 0.9463 0.3868  5 Si 2.97-3.18, 4 Os 3.06-3.24
Y7 0.1211 0.4463 0.1132  5 Si 2.97-3.18, 4 Os 3.06-3.24
Y8 0.6211 0.0537 0.8868  5 Si 2.97-3.18, 4 Os 3.06-3.24
Y9 0.6313 0.3036 0.2500  4 Si 2.92-3.01, 4 Os 3.18-3.25
Y10 0.1313 0.1964 0.7500  4 Si 2.92-3.01, 4 Os 3.18-3.25
Y11 0.3687 0.6964 0.7500  4 Si 2.92-3.01, 4 Os 3.18-3.25
Y12 0.8687 0.8036 0.2500  4 Si 2.92-3.01, 4 Os 3.18-3.25
Si1 0.0903 0.1464 0.2500  2 Os 2.56
Si2 0.5903 0.3536 0.7500  2 Os 2.56
Si3 0.9097 0.8536 0.7500  2 Os 2.56
Si4 0.4097 0.6464 0.2500  2 Os 2.56
Si5 0.6424 0.3122 0.4600  3 Os 2.35-2.41
Si6 0.1424 0.1878 0.5400  3 Os 2.35-2.41
Si7 0.3576 0.6878 0.9600  3 Os 2.35-2.41
Si8 0.8576 0.8122 0.0400  3 Os 2.35-2.41
Si9 0.3576 0.6878 0.5400  3 Os 2.35-2.41
Si10 0.8576 0.8122 0.4600  3 Os 2.35-2.41
Si11 0.6424 0.3122 0.0400  3 Os 2.35-2.41
Si12 0.1424 0.1878 0.9600  3 Os 2.35-2.41
Os1 0.8927 0.0958 0.4116  4 Si 2.35-2.56
Os2 0.3927 0.4042 0.5884  4 Si 2.35-2.56
Os3 0.1073 0.9042 0.9116  4 Si 2.35-2.56
Os4 0.6073 0.5958 0.0884  4 Si 2.35-2.56
Os5 0.1073 0.9042 0.5884  4 Si 2.35-2.56
Os6 0.6073 0.5958 0.4116  4 Si 2.35-2.56
Os7 0.8927 0.0958 0.0884  4 Si 2.35-2.56
Os8 0.3927 0.4042 0.9116  4 Si 2.35-2.56

Its density of states at the Fermi level is 22.19 states/eV/cell. The electronic total energy is -8.024 eV per atom. As for the formation energy (no corrections): -0.759 eV/atom. As for the density: 7.587 g/cm3.

***

First-principles (PBE) data for a relaxed structure of Rb3NaFe2Cl9, as listed in Alexandria via LeMat-Bulk.

Cell lengths 7.1992, 7.1992, 8.9260 Å; angles 90.00, 90.00, 120.00 degrees
With the nearest neighbours (Å) after each atom.
Element x y z (fractional)
Rb1 0.3333 0.6667 0.6700  12 Cl 3.60-3.73
Rb2 0.0000 0.0000 0.0000  12 Cl 3.56-3.60
Rb3 0.6667 0.3333 0.3300  12 Cl 3.60-3.73
Na1 0.0000 0.0000 0.5000  6 Cl 2.74
Fe1 0.3333 0.6667 0.1680  6 Cl 2.37-2.56
Fe2 0.6667 0.3333 0.8320  6 Cl 2.37-2.56
Cl1 0.8247 0.1753 0.6854  1 Fe 2.37
Cl2 0.8247 0.6494 0.6854  1 Fe 2.37
Cl3 0.3506 0.1753 0.6854  1 Fe 2.37
Cl4 0.6494 0.8247 0.3146  1 Fe 2.37
Cl5 0.1753 0.3506 0.3146  1 Fe 2.37
Cl6 0.1753 0.8247 0.3146  1 Fe 2.37
Cl7 0.5000 0.0000 0.0000  2 Fe 2.56
Cl8 0.0000 0.5000 0.0000  2 Fe 2.56
Cl9 0.5000 0.5000 0.0000  2 Fe 2.56

Its density of states at the Fermi level is 8.39 states/eV/cell. The electronic total energy is -3.897 eV per atom. As for the formation energy (no corrections): -1.379 eV/atom. As for the density: 2.943 g/cm3.